First-principles (PBE-GGA) data for Cr2BSe after structural relaxation, as listed in Alexandria.

ΔE to the lowest computed polymorph in kJ/mol of atoms: 6.16
Calculated volume in Å³/cell: 179
E in eV per cell: -110.42
Raw formation energy in meV per atom: 451
Space-group type: Fm-3m (225)

Geometry as POSCAR:
```
Cr2BSe
1.0
5.641 0.000 0.000
0.000 5.641 0.000
0.000 0.000 5.641
Cr B Se
8 4 4
direct
0.250 0.250 0.250
0.250 0.250 0.750
0.250 0.750 0.250
0.250 0.750 0.750
0.750 0.250 0.250
0.750 0.250 0.750
0.750 0.750 0.250
0.750 0.750 0.750
0.000 0.000 0.000
0.000 0.500 0.500
0.500 0.000 0.500
0.500 0.500 0.000
0.000 0.000 0.500
0.000 0.500 0.000
0.500 0.000 0.000
0.500 0.500 0.500
```